Entry from Alexandria via LeMat-Bulk: a relaxed structure of V3TcC (PBE-GGA).

Computed properties:
The calculation puts the calculated formation energy at -0.122 eV per atom. As for the density of states at the Fermi level: 9.00 states/eV per cell. The spin magnetization is 0.00 μB/cell. As for the excess energy over the best structure of this formula in the dataset: 0 meV per atom. As for the crystal system: cubic.

abc: 3.969 3.969 3.969
angles: 90.00 90.00 90.00
Fractional positions:
V  0.000  0.000  0.500
V  0.000  0.500  0.000
V  0.500  0.000  0.000
Tc  0.500  0.500  0.500
C  0.000  0.000  0.000

=====

Entry from Alexandria via LeMat-Bulk: a relaxed structure of VTcC2 (PBE-GGA).

Computed properties:
The calculation puts the calculated formation energy at 0.562 eV per atom. As for the density of states at the Fermi level: 2.20 states/eV per cell. The spin magnetization is 0.01 μB/cell. As for the excess energy over the best structure of this formula in the dataset: 188 meV per atom. As for the crystal system: cubic.

abc: 3.725 3.725 3.725
angles: 60.00 60.00 60.00
Fractional positions:
V  0.000  0.000  0.000
Tc  0.500  0.500  0.500
C  0.250  0.250  0.250
C  0.750  0.750  0.750